# 1
Density functional theory data (PBE) for crystalline Zr2CrTc at its relaxed geometry.

## Properties
The calculation puts the formation energy at 0.1481 eV per atom. The density of states at the Fermi level is 5.5 states/eV/f.u. The final energy is -36.493 eV/cell.

Lattice parameters (Å, degrees): 3.320 4.307 4.898 90.00 90.00 90.00
Space group Pmmm (No. 47)
One atom of each set of equivalent atoms:
1 Zr 0.000 0.000 0.000 [1 per cell]
2 Zr 0.500 0.000 0.500 [1 per cell]
3 Cr 0.000 0.500 0.500 [1 per cell]
4 Tc 0.500 0.500 0.000 [1 per cell]

---

# 2
Density functional theory data (PBE) for crystalline Zr2CrTc2 at its relaxed geometry.

## Properties
The calculation puts the formation energy at -0.0028 eV per atom. The density of states at the Fermi level is 6.5 states/eV/f.u. The final energy is -94.932 eV/cell.

Lattice parameters (Å, degrees): 6.291 6.291 4.508 90.00 90.00 90.00
Space group P4/mbm (No. 127)
One atom of each set of equivalent atoms:
1 Zr 0.179 0.321 0.000 [4 per cell]
2 Cr 0.000 0.000 0.500 [2 per cell]
3 Tc 0.146 0.646 0.500 [4 per cell]